Entry 1:
# Sc4ZnSN2

A geometry-optimized Sc4ZnSN2 structure (PBE, OQMD via LeMat-Bulk).

a = 3.291 Å, b = 3.291 Å, c = 12.899 Å
α = 90.00°, β = 90.00°, γ = 120.00°
Sites, in units of the cell vectors:
Sc (0.000, 0.000, 0.138)
Sc (0.000, 0.000, 0.862)
Sc (0.667, 0.333, 0.326)
Sc (0.667, 0.333, 0.674)
Zn (0.000, 0.000, 0.500)
S (0.667, 0.333, 0.000)
N (0.333, 0.667, 0.229)
N (0.333, 0.667, 0.771)

DFT total energy   -7.369 eV per atom

---

Entry 2:
# GdDySbBr2

A geometry-optimized GdDySbBr2 structure (PBE, OQMD via LeMat-Bulk).

a = 4.238 Å, b = 4.238 Å, c = 10.833 Å
α = 90.00°, β = 90.00°, γ = 120.00°
Sites, in units of the cell vectors:
Gd (0.000, 0.000, 0.000)
Dy (0.333, 0.667, 0.321)
Sb (0.667, 0.333, 0.163)
Br (0.000, 0.000, 0.479)
Br (0.333, 0.667, 0.841)

DFT total energy   -4.821 eV per atom

---

Look up the DFT total energy of the first one. -7.369 eV per atom

---

Number 1 is which compound? Sc4ZnSN2

---

Among the records above, which one has the highest DFT total energy? GdDySbBr2

---

The highest DFT total energy belongs to which entry? GdDySbBr2